Record 1
Below is an optimized crystal structure of PrRu2O8, with properties calculated at the PBE-GGA level.

Results
space group = Fm-3m, No. 225

a = 6.895 Å, b = 6.895 Å, c = 6.897 Å
α = 119.99°, β = 119.99°, γ = 90.00°
Site moments in Bohr magnetons follow the coordinates.
Sites, in units of the cell vectors:
O1 0.354 0.646 0.291  0.07
O2 0.937 0.646 0.291  0.07
O3 0.646 0.354 0.291  0.07
O4 0.354 0.646 0.709  0.07
O5 0.646 0.354 0.709  0.07
O6 0.646 0.937 0.291  0.07
O7 0.354 0.063 0.709  0.07
O8 0.063 0.354 0.709  0.07
Ru1 0.750 0.250 0.500  0.47
Ru2 0.250 0.750 0.500  0.47
Pr1 0.500 0.500 0.000  0.01

Record 2
Below is an optimized crystal structure of Pr4RuO7, with properties calculated at the PBE-GGA level.

Results
space group = C2/m, No. 12

a = 4.041 Å, b = 6.959 Å, c = 7.216 Å
α = 82.76°, β = 73.74°, γ = 73.12°
Site moments in Bohr magnetons follow the coordinates.
Sites, in units of the cell vectors:
Pr1 0.587 0.220 0.605  0.00
Pr2 0.251 0.337 0.161  0.00
Pr3 0.413 0.780 0.395  0.00
Pr4 0.749 0.663 0.839  0.00
O1 0.096 0.710 0.098  0.10
O2 0.200 0.150 0.450  0.00
O3 0.500 0.000 0.000  0.15
O4 0.904 0.290 0.902  0.10
O5 0.371 0.565 0.692  0.01
O6 0.629 0.435 0.308  0.01
O7 0.800 0.850 0.550  0.00
Ru1 0.000 0.000 0.000  1.50

Record 3
Below is an optimized crystal structure of PrRuO4, with properties calculated at the PBE-GGA level.

Results
space group = I4_1/a, No. 88

a = 5.351 Å, b = 5.351 Å, c = 6.992 Å
α = 112.50°, β = 112.50°, γ = 90.00°
Site moments in Bohr magnetons follow the coordinates.
Sites, in units of the cell vectors:
O1 0.734 0.325 0.160  0.08
O2 0.427 0.836 0.160  0.08
O3 0.075 0.677 0.660  0.08
O4 0.586 0.984 0.660  0.08
O5 0.164 0.266 0.840  0.08
O6 0.323 0.414 0.340  0.08
O7 0.016 0.925 0.340  0.08
O8 0.675 0.573 0.840  0.08
Ru1 0.250 0.750 0.500  0.60
Ru2 0.500 0.500 0.000  0.60
Pr1 0.000 0.000 0.000  0.01
Pr2 0.750 0.250 0.500  0.01

Record 4
Below is an optimized crystal structure of PrRuO3, with properties calculated at the PBE-GGA level.

Results
space group = P2_1/m, No. 11

a = 4.081 Å, b = 5.609 Å, c = 6.593 Å
α = 103.14°, β = 90.00°, γ = 90.00°
Site moments in Bohr magnetons follow the coordinates.
Sites, in units of the cell vectors:
O1 0.750 0.175 0.127  0.00
O2 0.250 0.825 0.873  0.00
O3 0.250 0.173 0.619  0.00
O4 0.750 0.578 0.688  0.02
O5 0.250 0.422 0.312  0.02
O6 0.750 0.827 0.381  0.00
Ru1 0.750 0.459 0.357  0.08
Ru2 0.250 0.541 0.643  0.08
Pr1 0.750 0.034 0.753  0.00
Pr2 0.250 0.966 0.247  0.00

Record 5
Below is an optimized crystal structure of Pr2RuO6, with properties calculated at the PBE-GGA level.

Results
space group = Immm, No. 71

a = 3.845 Å, b = 5.521 Å, c = 6.499 Å
α = 115.13°, β = 107.20°, γ = 90.00°
Site moments in Bohr magnetons follow the coordinates.
Sites, in units of the cell vectors:
O1 0.856 0.088 0.712  0.11
O2 0.500 0.797 0.000  0.00
O3 0.856 0.624 0.712  0.11
O4 0.144 0.912 0.288  0.11
O5 0.500 0.203 0.000  0.00
O6 0.144 0.376 0.288  0.11
Pr1 0.333 0.333 0.667  0.02
Pr2 0.667 0.667 0.333  0.02
Ru1 0.000 0.000 0.000  1.39

Record 6
Below is an optimized crystal structure of Pr2SmRuO8, with properties calculated at the PBE-GGA level.

Results
space group = P-1, No. 2

a = 5.217 Å, b = 5.229 Å, c = 7.002 Å
α = 89.99°, β = 89.98°, γ = 90.18°
Site moments in Bohr magnetons follow the coordinates.
Sites, in units of the cell vectors:
O1 0.253 0.255 0.001  -0.02
O2 0.695 0.692 0.500  -0.01
O3 0.305 0.308 0.500  -0.01
O4 0.178 0.823 0.206  0.07
O5 0.747 0.745 0.999  -0.02
O6 0.822 0.177 0.794  0.07
O7 0.821 0.176 0.206  0.07
O8 0.179 0.824 0.794  0.07
Ru1 0.000 0.000 0.000  0.68
Sm1 0.000 0.000 0.500  0.02
Pr1 0.499 0.499 0.752  0.01
Pr2 0.501 0.501 0.248  0.01

Record 7
Below is an optimized crystal structure of SrPrRu2O8, with properties calculated at the PBE-GGA level.

Results
space group = P-3m1, No. 164

a = 5.951 Å, b = 5.951 Å, c = 7.395 Å
α = 90.00°, β = 90.00°, γ = 120.00°
Site moments in Bohr magnetons follow the coordinates.
Sites, in units of the cell vectors:
Ru1 0.667 0.333 0.197  0.82
Ru2 0.333 0.667 0.803  0.82
Pr1 0.000 0.000 0.500  0.01
O1 0.333 0.667 0.042  0.18
O2 0.165 0.330 0.724  0.11
O3 0.835 0.670 0.276  0.11
O4 0.667 0.333 0.958  0.18
O5 0.165 0.835 0.724  0.11
O6 0.670 0.835 0.724  0.11
O7 0.330 0.165 0.276  0.11
O8 0.835 0.165 0.276  0.11
Sr1 0.000 0.000 0.000  0.01

Record 8
Below is an optimized crystal structure of Pr2Tl2RuO6, with properties calculated at the PBE-GGA level.

Results
space group = C2/m, No. 12

a = 6.030 Å, b = 6.030 Å, c = 6.730 Å
α = 97.17°, β = 97.17°, γ = 119.75°
Site moments in Bohr magnetons follow the coordinates.
Sites, in units of the cell vectors:
Ru1 0.000 0.000 0.500  1.41
O1 0.764 0.764 0.682  0.06
O2 0.236 0.236 0.318  0.06
O3 0.042 0.338 0.662  0.08
O4 0.662 0.958 0.338  0.08
O5 0.338 0.042 0.662  0.08
O6 0.958 0.662 0.338  0.08
Tl1 0.842 0.158 0.000  0.01
Tl2 0.158 0.842 0.000  0.01
Pr1 0.336 0.664 0.500  0.01
Pr2 0.664 0.336 0.500  0.01

Record 9
Below is an optimized crystal structure of PrTl2RuO8, with properties calculated at the PBE-GGA level.

Results
space group = P-1, No. 2

a = 5.149 Å, b = 5.113 Å, c = 6.836 Å
α = 87.62°, β = 88.29°, γ = 90.94°
Site moments in Bohr magnetons follow the coordinates.
Sites, in units of the cell vectors:
O1 0.659 0.711 0.517  0.01
O2 0.341 0.289 0.483  0.01
O3 0.845 0.201 0.795  0.09
O4 0.170 0.815 0.802  0.06
O5 0.155 0.799 0.205  0.09
O6 0.830 0.185 0.198  0.06
O7 0.292 0.256 0.002  -0.04
O8 0.708 0.744 0.998  -0.04
Ru1 0.000 0.000 0.000  0.56
Tl1 0.483 0.477 0.754  0.01
Tl2 0.517 0.523 0.246  0.01
Pr1 0.000 0.000 0.500  0.01

Record 10
Below is an optimized crystal structure of PrTm2RuO8, with properties calculated at the PBE-GGA level.

Results
space group = P2/m, No. 10

a = 5.036 Å, b = 5.023 Å, c = 6.833 Å
α = 90.00°, β = 90.00°, γ = 89.50°
Site moments in Bohr magnetons follow the coordinates.
Sites, in units of the cell vectors:
O1 0.730 0.731 0.000  -0.02
O2 0.812 0.190 0.202  0.06
O3 0.188 0.810 0.202  0.06
O4 0.320 0.319 0.500  -0.02
O5 0.188 0.810 0.798  0.06
O6 0.270 0.269 0.000  -0.02
O7 0.680 0.681 0.500  -0.02
O8 0.812 0.190 0.798  0.06
Pr1 0.000 0.000 0.500  0.01
Tm1 0.500 0.500 0.751  0.03
Tm2 0.500 0.500 0.249  0.03
Ru1 0.000 0.000 0.000  0.74

Record 11
Below is an optimized crystal structure of PrY2RuO8, with properties calculated at the PBE-GGA level.

Results
space group = P2/m, No. 10

a = 5.097 Å, b = 5.084 Å, c = 6.899 Å
α = 90.00°, β = 90.00°, γ = 89.59°
Site moments in Bohr magnetons follow the coordinates.
Sites, in units of the cell vectors:
Y1 0.500 0.500 0.750  0.01
Y2 0.500 0.500 0.250  0.01
O1 0.682 0.684 0.500  -0.01
O2 0.318 0.316 0.500  -0.01
O3 0.816 0.187 0.798  0.06
O4 0.735 0.736 0.000  -0.02
O5 0.184 0.813 0.202  0.06
O6 0.185 0.814 0.798  0.06
O7 0.265 0.264 0.000  -0.02
O8 0.815 0.186 0.202  0.06
Ru1 0.000 0.000 0.000  0.71
Pr1 0.000 0.000 0.500  0.01

Record 12
Below is an optimized crystal structure of Pr2S2O, with properties calculated at the PBE-GGA level.

Results
space group = Immm, No. 71

a = 3.662 Å, b = 5.718 Å, c = 5.718 Å
α = 73.00°, β = 71.32°, γ = 71.32°
Sites, in units of the cell vectors:
Pr1 0.500 0.239 0.761
Pr2 0.500 0.761 0.239
S1 0.190 0.310 0.310
S2 0.810 0.690 0.690
O1 0.000 0.000 0.000

| no. | formation energy from raw total energies (eV/f.u.) |
| --- | --- |
| 1 | -14.5 |
| 2 | -33.4 |
| 3 | -11.0 |
| 4 | -9.2 |
| 5 | -17.9 |
| 6 | -27.0 |
| 7 | -19.3 |
| 8 | -19.4 |
| 9 | -13.1 |
| 10 | -28.5 |
| 11 | -27.9 |
| 12 | -11.5 |